Compound: VAsO2
Source: Alexandria via LeMat-Bulk
Functional: PBE with a Hubbard U
Structure: optimized geometry

Lattice parameters (Å, degrees): 6.5898 6.5898 6.5898 27.04 27.04 27.04
Sites, in units of the cell vectors:
O  0.8881  0.8881  0.8881
O  0.1119  0.1119  0.1119
As  0.0000  0.0000  0.0000
V  0.5000  0.5000  0.5000

Summary:
- calculated total energy (eV per atom) = -6.862
- mass density (Mg/m³) = 5.0
- V (Å³/f.u.) = 52